No. 1
CrHg3S: relaxed, GGA-PBE.

Computed properties:
The calculation puts the energy above the lowest structure with this stoichiometry at 0.0 kJ/mol of atoms. Its total energy is -11.23 eV per cell. The uncorrected formation energy comes out at 0.6845 eV per atom.

a b c (Å): 5.3202 5.3202 5.3202
angles (deg): 90.00 90.00 90.00
With the nearest neighbours (Å) after each atom.
Fractional positions:
Cr  0.0000  0.0000  0.0000  6 Hg 2.66
Hg  0.0000  0.0000  0.5000  2 Cr 2.66
Hg  0.0000  0.5000  0.0000  2 Cr 2.66
Hg  0.5000  0.0000  0.0000  2 Cr 2.66
S  0.5000  0.5000  0.5000  12 Hg 3.76

No. 2
CrHg2S2: relaxed, GGA-PBE.

Computed properties:
The calculation puts the energy above the lowest structure with this stoichiometry at 0.0 kJ/mol of atoms. Its total energy is -32.44 eV per cell. The uncorrected formation energy comes out at 0.4523 eV per atom.

a b c (Å): 7.5170 7.5170 3.7387
angles (deg): 90.00 90.00 90.00
With the nearest neighbours (Å) after each atom.
Fractional positions:
Cr  0.0000  0.0000  0.0000  4 Hg 2.94
Cr  0.5000  0.5000  0.0000  4 Hg 2.94
Hg  0.1321  0.3679  0.0000  2 S 2.67, 1 Hg 2.81, 2 Cr 2.94
Hg  0.3679  0.8679  0.0000  2 S 2.67, 1 Hg 2.81, 2 Cr 2.94
Hg  0.6321  0.1321  0.0000  2 S 2.67, 1 Hg 2.81, 2 Cr 2.94
Hg  0.8679  0.6321  0.0000  2 S 2.67, 1 Hg 2.81, 2 Cr 2.94
S  0.1879  0.6879  0.5000  2 Hg 2.67
S  0.3121  0.1879  0.5000  2 Hg 2.67
S  0.6879  0.8121  0.5000  2 Hg 2.67
S  0.8121  0.3121  0.5000  2 Hg 2.67

No. 3
Cr2SnHg2S6: relaxed, GGA-PBE.

Computed properties:
Its total energy is -52.83 eV per cell. The uncorrected formation energy comes out at -0.3832 eV per atom.

a b c (Å): 6.2251 6.2251 8.4352
angles (deg): 98.56 98.56 120.94
With the nearest neighbours (Å) after each atom.
Fractional positions:
Cr  0.1637  0.8363  0.0000  6 S 2.39-2.42
Cr  0.8363  0.1637  0.0000  6 S 2.39-2.42
Sn  0.5000  0.5000  0.0000  6 S 2.55-2.58
Hg  0.2608  0.7392  0.5000  2 S 2.79, 2 Hg 3.08
Hg  0.7392  0.2608  0.5000  2 S 2.79, 2 Hg 3.08
S  0.0770  0.0770  0.8320  2 Cr 2.40, 1 Sn 2.55
S  0.2128  0.5697  0.1639  2 Cr 2.39-2.42, 1 Sn 2.58
S  0.4303  0.7872  0.8361  2 Cr 2.39-2.42, 1 Sn 2.58
S  0.5697  0.2128  0.1639  2 Cr 2.39-2.42, 1 Sn 2.58
S  0.7872  0.4303  0.8361  2 Cr 2.39-2.42, 1 Sn 2.58
S  0.9230  0.9230  0.1680  2 Cr 2.40, 1 Sn 2.55

No. 4
Ta2CrHg2S6: relaxed, GGA-PBE.

Computed properties:
Its total energy is -66.81 eV per cell. The uncorrected formation energy comes out at -0.7376 eV per atom.

a b c (Å): 5.8159 5.8159 9.6319
angles (deg): 96.28 96.28 119.98
With the nearest neighbours (Å) after each atom.
Fractional positions:
Ta  0.1667  0.8333  0.0000  6 S 2.46
Ta  0.8333  0.1667  0.0000  6 S 2.46
Cr  0.5000  0.5000  0.0000  6 S 2.40
Hg  0.3302  0.6698  0.5000  3 Hg 3.33-3.42
Hg  0.6698  0.3302  0.5000  3 Hg 3.33-3.42
S  0.1180  0.4431  0.8418  1 Cr 2.40, 2 Ta 2.46
S  0.2329  0.2329  0.1578  1 Cr 2.40, 2 Ta 2.46
S  0.4431  0.1180  0.8418  1 Cr 2.40, 2 Ta 2.46
S  0.5569  0.8820  0.1582  1 Cr 2.40, 2 Ta 2.46
S  0.7671  0.7671  0.8422  1 Cr 2.40, 2 Ta 2.46
S  0.8820  0.5569  0.1582  1 Cr 2.40, 2 Ta 2.46

No. 5
TaCr2Hg2S6: relaxed, GGA-PBE.

Computed properties:
Its total energy is -63.20 eV per cell. The uncorrected formation energy comes out at -0.6122 eV per atom.

a b c (Å): 5.8213 5.8213 9.4025
angles (deg): 95.17 95.17 120.02
With the nearest neighbours (Å) after each atom.
Fractional positions:
Ta  0.0000  0.0000  0.0000  6 S 2.45
Cr  0.3335  0.6665  0.0000  6 S 2.38
Cr  0.6665  0.3335  0.0000  6 S 2.38
Hg  0.1638  0.8362  0.5000  3 Hg 3.30-3.39
Hg  0.8362  0.1638  0.5000  3 Hg 3.30-3.39
S  0.0444  0.3884  0.1533  2 Cr 2.38, 1 Ta 2.45
S  0.2990  0.2990  0.8463  2 Cr 2.38, 1 Ta 2.45
S  0.3884  0.0444  0.1533  2 Cr 2.38, 1 Ta 2.45
S  0.6116  0.9556  0.8467  2 Cr 2.38, 1 Ta 2.45
S  0.7010  0.7010  0.1537  2 Cr 2.38, 1 Ta 2.45
S  0.9556  0.6116  0.8467  2 Cr 2.38, 1 Ta 2.45

No. 6
TiCrHgS2: relaxed, GGA-PBE.

Computed properties:
Its total energy is -25.79 eV per cell. The uncorrected formation energy comes out at 0.0569 eV per atom.

a b c (Å): 4.6768 4.6768 5.3090
angles (deg): 90.00 90.00 90.00
With the nearest neighbours (Å) after each atom.
Fractional positions:
Ti  0.0000  0.0000  0.0000  4 S 2.34
Cr  0.5000  0.5000  0.5000  4 Hg 3.31, 8 S 3.54
Hg  0.0000  0.0000  0.5000  2 Ti 2.65
S  0.0000  0.5000  0.0000  2 Ti 2.34
S  0.5000  0.0000  0.0000  2 Ti 2.34